{
  "formula": "BaMnIn2Se4",
  "functional": "PBE-GGA",
  "state": "relaxed",
  "cell": [[-2.176, 0.840, -3.598], [6.627, -2.692, -2.081], [-5.555, -13.786, 0.142]],
  "species": ["Ba", "Ba", "Mn", "Mn", "In", "In", "In", "In", "Se", "Se", "Se", "Se", "Se", "Se", "Se", "Se"],
  "frac_coords": [[0.120, 0.239, 0.750], [0.880, 0.761, 0.250], [0.846, 0.693, 0.750], [0.154, 0.307, 0.250], [0.376, 0.752, 0.550], [0.624, 0.248, 0.050], [0.624, 0.248, 0.450], [0.376, 0.752, 0.950], [0.261, 0.522, 0.118], [0.739, 0.478, 0.618], [0.739, 0.478, 0.882], [0.261, 0.522, 0.382], [0.000, 0.000, 0.500], [0.000, 0.000, 0.000], [0.442, 0.884, 0.750], [0.558, 0.116, 0.250]],
  "magmom_total_mub_per_fu": 4.849,
  "total_energy_ev_per_atom": -4.601
}

---

{
  "formula": "BaMnIn2Sn",
  "functional": "PBE-GGA",
  "state": "relaxed",
  "cell": [[-2.167, -3.786, -2.809], [3.065, 1.217, -4.005], [3.546, -3.298, 1.711]],
  "species": ["In", "In", "Ba", "Mn", "Sn"],
  "frac_coords": [[0.000, 0.500, 0.000], [0.500, 0.000, 0.000], [0.500, 0.500, 0.500], [0.000, 0.000, 0.000], [0.000, 0.000, 0.500]],
  "delta_e_f_ev_per_atom": -0.180,
  "magmom_total_mub_per_fu": 1.841,
  "total_energy_ev_per_atom": -4.295
}

---

{
  "formula": "BaTaMn2In",
  "functional": "PBE-GGA",
  "state": "relaxed",
  "cell": [[4.781, 0.000, 0.000], [0.000, 5.516, 0.000], [0.000, 0.000, 4.781]],
  "species": ["In", "Ba", "Mn", "Mn", "Ta"],
  "frac_coords": [[0.000, 0.500, 0.000], [0.500, 0.500, 0.500], [0.000, 0.000, 0.500], [0.500, 0.000, 0.000], [0.000, 0.000, 0.000]],
  "delta_e_f_ev_per_atom": 1.068,
  "polymorph_energy_mev_per_atom": 0,
  "magmom_total_mub_per_fu": 0.527,
  "total_energy_ev_per_atom": -5.903
}

---

{
  "formula": "BaTaMn2In",
  "functional": "PBE-GGA",
  "state": "relaxed",
  "cell": [[4.637, 0.000, 0.000], [0.000, 5.643, 0.000], [0.000, 0.000, 4.637]],
  "species": ["In", "Ba", "Mn", "Mn", "Ta"],
  "frac_coords": [[0.000, 0.500, 0.000], [0.000, 0.000, 0.000], [0.000, 0.000, 0.500], [0.500, 0.000, 0.000], [0.500, 0.500, 0.500]],
  "delta_e_f_ev_per_atom": 2.768,
  "polymorph_energy_mev_per_atom": 1700,
  "magmom_total_mub_per_fu": 0.101,
  "total_energy_ev_per_atom": -4.202
}